[1]
This record from the Alexandria database describes a relaxed AlNi3Pt3 crystal. The functional is PBE-GGA.

a b c (Å): 7.7139 7.7139 7.7139
angles (deg): 43.24 43.24 43.24
Element x y z (fractional)
Al (0.2020, 0.2020, 0.2020)
Al (0.7980, 0.7980, 0.7980)
Ni (0.0878, 0.2635, 0.5681)
Ni (0.2635, 0.5681, 0.0878)
Ni (0.4319, 0.9122, 0.7365)
Ni (0.5681, 0.0878, 0.2635)
Ni (0.7365, 0.4319, 0.9122)
Ni (0.9122, 0.7365, 0.4319)
Pt (0.2236, 0.3365, 0.7685)
Pt (0.2315, 0.7764, 0.6635)
Pt (0.3365, 0.7685, 0.2236)
Pt (0.6635, 0.2315, 0.7764)
Pt (0.7685, 0.2236, 0.3365)
Pt (0.7764, 0.6635, 0.2315)

DOS(E_F), states/eV/cell: 17.9
E_form, eV/atom: -0.21
E above lowest polymorph, meV per atom: 0.0
Calculated volume, Å³/atom: 13.95



[2]
This record from the Alexandria database describes a relaxed Li2Bi2P crystal. The functional is PBE-GGA.

a b c (Å): 8.6489 8.6489 8.6489
angles (deg): 155.12 155.12 35.47
Element x y z (fractional)
Li (0.2500, 0.7500, 0.5000)
Li (0.7500, 0.2500, 0.5000)
Bi (0.1012, 0.1012, 0.0000)
Bi (0.8988, 0.8988, 0.0000)
P (0.5000, 0.5000, 0.0000)

DOS(E_F), states/eV/cell: 3.3
E_form, eV/atom: 0.18
E above lowest polymorph, meV per atom: 274.7
Calculated volume, Å³/atom: 22.87



[3]
This record from the Alexandria database describes a relaxed Li3ZnCu2 crystal. The functional is PBE-GGA.

a b c (Å): 4.4424 4.4424 8.7851
angles (deg): 101.75 101.75 100.68
Element x y z (fractional)
Li (0.0476, 0.2968, 0.5934)
Li (0.1247, 0.8753, 0.7500)
Li (0.2968, 0.0476, 0.0934)
Li (0.7032, 0.9524, 0.9066)
Li (0.8753, 0.1247, 0.2500)
Li (0.9524, 0.7032, 0.4066)
Zn (0.3740, 0.6260, 0.2500)
Zn (0.6260, 0.3740, 0.7500)
Cu (0.2136, 0.4639, 0.9272)
Cu (0.4639, 0.2136, 0.4272)
Cu (0.5361, 0.7864, 0.5728)
Cu (0.7864, 0.5361, 0.0728)

DOS(E_F), states/eV/cell: 2.6
E_form, eV/atom: -0.10
E above lowest polymorph, meV per atom: 0.0
Calculated volume, Å³/atom: 13.46



[4]
This record from the Alexandria database describes a relaxed Pr2Cd8Ag crystal. The functional is PBE-GGA.

a b c (Å): 9.3357 9.3357 6.6523
angles (deg): 105.14 105.14 29.25
Element x y z (fractional)
Pr (0.2195, 0.2195, 0.1984)
Pr (0.7805, 0.7805, 0.8016)
Cd (0.0193, 0.0193, 0.2279)
Cd (0.1442, 0.1442, 0.6627)
Cd (0.3661, 0.3661, 0.6313)
Cd (0.3982, 0.3982, 0.0865)
Cd (0.6018, 0.6018, 0.9135)
Cd (0.6339, 0.6339, 0.3687)
Cd (0.8558, 0.8558, 0.3373)
Cd (0.9807, 0.9807, 0.7721)
Ag (0.5000, 0.5000, 0.5000)

DOS(E_F), states/eV/cell: 5.7
E_form, eV/atom: -0.19
Calculated volume, Å³/atom: 24.80



[5]
This record from the Alexandria database describes a relaxed SmSn4Pb crystal. The functional is PBE-GGA.

a b c (Å): 6.2330 6.2330 6.2330
angles (deg): 60.00 60.00 60.00
Element x y z (fractional)
Sm (0.0000, 0.0000, 0.0000)
Sn (0.1248, 0.6251, 0.6251)
Sn (0.6251, 0.1248, 0.6251)
Sn (0.6251, 0.6251, 0.1248)
Sn (0.6251, 0.6251, 0.6251)
Pb (0.2500, 0.2500, 0.2500)

DOS(E_F), states/eV/cell: 3.6
E_form, eV/atom: -0.16
Calculated volume, Å³/atom: 28.54



[6]
This record from the Alexandria database describes a relaxed BaBe2Cd crystal. The functional is PBE-GGA.

a b c (Å): 9.1984 9.1984 9.1984
angles (deg): 149.08 149.08 44.29
Element x y z (fractional)
Ba (0.3750, 0.6250, 0.7500)
Ba (0.6250, 0.3750, 0.2500)
Be (0.0000, 0.0000, 0.0000)
Be (0.0000, 0.0000, 0.5000)
Be (0.0000, 0.5000, 0.0000)
Be (0.5000, 0.0000, 0.5000)
Cd (0.1250, 0.8750, 0.2500)
Cd (0.8750, 0.1250, 0.7500)

DOS(E_F), states/eV/cell: 7.5
E_form, eV/atom: 0.41
Calculated volume, Å³/atom: 25.61



[7]
This record from the Alexandria database describes a relaxed PmPbF6 crystal. The functional is PBE-GGA.

a b c (Å): 3.6910 5.7889 5.7889
angles (deg): 75.50 90.00 90.00
Element x y z (fractional)
Pm (0.0000, 0.0000, 0.0000)
Pb (0.5000, 0.5245, 0.5245)
F (0.0000, 0.2304, 0.5945)
F (0.0000, 0.5945, 0.2304)
F (0.0000, 0.6659, 0.6659)
F (0.5000, 0.2932, 0.9296)
F (0.5000, 0.8572, 0.8572)
F (0.5000, 0.9296, 0.2932)

DOS(E_F), states/eV/cell: 1.8
Formation energy from raw total energies, eV/atom: -2.97
E above lowest polymorph, meV per atom: 27.4
Calculated volume, Å³/atom: 14.97



[8]
This record from the Alexandria database describes a relaxed RbBaCuI4 crystal. The functional is PBE-GGA.

a b c (Å): 7.6972 8.0720 10.1857
angles (deg): 90.00 108.51 90.00
Element x y z (fractional)
Rb (0.2453, 0.2500, 0.4389)
Rb (0.7547, 0.7500, 0.5611)
Ba (0.2660, 0.2500, 0.9430)
Ba (0.7340, 0.7500, 0.0570)
Cu (0.2789, 0.7500, 0.1847)
Cu (0.7211, 0.2500, 0.8153)
I (0.0885, 0.7500, 0.9187)
I (0.0950, 0.7500, 0.3623)
I (0.4920, 0.5044, 0.7654)
I (0.4920, 0.9956, 0.7654)
I (0.5080, 0.0044, 0.2346)
I (0.5080, 0.4956, 0.2346)
I (0.9050, 0.2500, 0.6377)
I (0.9115, 0.2500, 0.0813)

DOS(E_F), states/eV/cell: 0.0
Formation energy from raw total energies, eV/atom: -1.23
Calculated volume, Å³/atom: 42.87



Q: Number 7 is which compound?
A: PmPbF6



Q: The highest DOS(E_F) belongs to which entry?
A: AlNi3Pt3



Q: Number 2 is which compound?
A: Li2Bi2P



Q: The lowest calculated volume belongs to which entry?
A: Li3ZnCu2